# HfTiRu PBE-GGA relaxed
# **ρ**: 10.5 Mg/m³
# **Energy above the lowest structure with this stoichiometry**: 15 meV/atom
# **Formation enthalpy at 0 K**: -0.49 eV/atom
data_HfTiRu
_chemical_formula_sum 'Hf4 Ti4 Ru4'
_cell_length_a 5.416
_cell_length_b 5.461
_cell_length_c 7.010
_cell_angle_alpha 90.00
_cell_angle_beta 90.00
_cell_angle_gamma 90.00
_symmetry_space_group_name_H-M 'I m m a'
_symmetry_Int_Tables_number 74
_symmetry_space_group_name_Hall '-I 2b 2'
loop_
_atom_site_label
_atom_site_type_symbol
_atom_site_fract_x
_atom_site_fract_y
_atom_site_fract_z
Hf1 Hf 0.000 0.250 0.134
Ti1 Ti 0.250 0.250 0.750
Ru1 Ru 0.000 0.000 0.500

***

# Hf2TiRu3 PBE-GGA relaxed
# **ρ**: 12.1 Mg/m³
# **Formation enthalpy at 0 K**: -0.78 eV/atom
data_Hf2TiRu3
_chemical_formula_sum 'Hf2 Ti1 Ru3'
_cell_length_a 3.184
_cell_length_b 3.184
_cell_length_c 9.622
_cell_angle_alpha 90.00
_cell_angle_beta 90.00
_cell_angle_gamma 90.00
_symmetry_space_group_name_H-M 'P 4/m m m'
_symmetry_Int_Tables_number 123
_symmetry_space_group_name_Hall '-P 4 2'
loop_
_atom_site_label
_atom_site_type_symbol
_atom_site_fract_x
_atom_site_fract_y
_atom_site_fract_z
Hf1 Hf 0.000 0.000 0.171
Ti1 Ti 0.000 0.000 0.500
Ru1 Ru 0.500 0.500 0.000
Ru2 Ru 0.500 0.500 0.343

***

# HfTi3Ru2 PBE-GGA relaxed
# **ρ**: 9.0 Mg/m³
# **Formation enthalpy at 0 K**: -0.49 eV/atom
data_HfTi3Ru2
_chemical_formula_sum 'Hf1 Ti3 Ru2'
_cell_length_a 3.098
_cell_length_b 3.098
_cell_length_c 10.121
_cell_angle_alpha 90.00
_cell_angle_beta 90.00
_cell_angle_gamma 90.00
_symmetry_space_group_name_H-M 'P 4/m m m'
_symmetry_Int_Tables_number 123
_symmetry_space_group_name_Hall '-P 4 2'
loop_
_atom_site_label
_atom_site_type_symbol
_atom_site_fract_x
_atom_site_fract_y
_atom_site_fract_z
Hf1 Hf 0.000 0.000 0.000
Ti1 Ti 0.500 0.500 0.198
Ti2 Ti 0.500 0.500 0.500
Ru1 Ru 0.000 0.000 0.347

***

# HfTi4Ru PBE-GGA relaxed
# **ρ**: 7.6 Mg/m³
# **Formation enthalpy at 0 K**: -0.27 eV/atom
data_HfTi4Ru
_chemical_formula_sum 'Hf2 Ti8 Ru2'
_cell_length_a 9.765
_cell_length_b 4.535
_cell_length_c 5.551
_cell_angle_alpha 90.00
_cell_angle_beta 123.18
_cell_angle_gamma 90.00
_symmetry_space_group_name_H-M 'C 1 2/m 1'
_symmetry_Int_Tables_number 12
loop_
_symmetry_equiv_pos_as_xyz
'x,y,z'
'-x,-y,-z'
'-x,y,-z'
'x,-y,z'
'x+1/2,y+1/2,z'
'-x+1/2,-y+1/2,-z'
'-x+1/2,y+1/2,-z'
'x+1/2,-y+1/2,z'
loop_
_atom_site_label
_atom_site_type_symbol
_atom_site_fract_x
_atom_site_fract_y
_atom_site_fract_z
Hf1 Hf 0.000 0.000 0.000
Ti1 Ti 0.153 0.500 0.812
Ti2 Ti 0.205 0.500 0.352
Ru1 Ru 0.000 0.000 0.500

***

Listing total magnetization for the structures above in their given order: 0.00, 0.00, 0.00, 0.00 μB/cell.